Here is a geometry-optimized YAuSe4 structure from Alexandria. Energies are from PBE-GGA.

Properties
**ΔE_f (raw)**: -0.33 eV/f.u.
**Electronic total energy**: -4.001 eV per atom
**Total magnetic moment**: 0.0 Bohr magnetons per cell

Lattice parameters (Å, degrees): 8.0834 8.0834 8.0834 90.00 90.00 90.00
With the nearest neighbours (Å) after each atom.
Space group F-43m (No. 216)
Inequivalent atoms, fractional coordinates:
Y  0.0000  0.0000  0.0000 (multiplicity 4)  12 Se 3.35, 4 Au 3.50
Au  0.2500  0.2500  0.7500 (multiplicity 4)  12 Se 3.35, 4 Y 3.50
Se  0.1245  0.1245  0.3755 (multiplicity 16)  6 Se 2.85-2.87

=====

Here is a geometry-optimized NdEr2Al9 structure from Alexandria. Energies are from PBE-GGA.

Properties
**Electronic total energy**: -4.348 eV per atom
**Total magnetic moment**: 0.0 Bohr magnetons per cell

Lattice parameters (Å, degrees): 5.5851 5.5851 26.2594 90.00 90.00 120.00
With the nearest neighbours (Å) after each atom.
Space group R-3m (No. 166, hexagonal axes)
Inequivalent atoms, fractional coordinates:
Nd  0.0000  0.0000  0.0000 (multiplicity 3)  18 Al 3.23-3.56
Er  0.0000  0.0000  0.1421 (multiplicity 6)  12 Al 3.18-3.29, 3 Er 3.47
Al  0.0000  0.0000  0.3356 (multiplicity 6)  6 Al 2.71-2.76
Al  0.0000  0.0000  0.5000 (multiplicity 3)  6 Al 2.72
Al  0.0076  0.5038  0.9159 (multiplicity 18)  7 Al 2.71-2.86

=====

Here is a geometry-optimized SrPr4Au4 structure from Alexandria. Energies are from PBE-GGA.

Properties
**Electronic total energy**: -4.342 eV per atom
**Total magnetic moment**: 0.0 Bohr magnetons per cell

Lattice parameters (Å, degrees): 9.8930 9.8930 6.0615 90.00 90.00 90.00
With the nearest neighbours (Å) after each atom.
Space group P4_2/n (No. 86, origin choice 2)
Inequivalent atoms, fractional coordinates:
Sr  0.2500  0.2500  0.2500 (multiplicity 2)  4 Au 3.28
Pr  0.0916  0.6454  0.1570 (multiplicity 8)  5 Au 3.07-3.11
Au  0.0451  0.6100  0.6552 (multiplicity 8)  1 Au 3.01, 5 Pr 3.07-3.11, 1 Sr 3.28